# 1
# MnSb

A relaxed structure of MnSb (PBE, the Alexandria database).

Structure (POSCAR):
```
MnSb
1.0
6.125 0.000 0.000
0.000 6.125 0.000
0.000 0.000 4.783
Mn Sb
4 4
Direct
0.111 0.111 0.000 Mn
0.389 0.611 0.500 Mn
0.611 0.389 0.500 Mn
0.889 0.889 0.000 Mn
0.213 0.213 0.500 Sb
0.287 0.713 0.000 Sb
0.713 0.287 0.000 Sb
0.787 0.787 0.500 Sb
```

Values from the calculation:
DOS at the Fermi energy in states/eV/cell: 7.4
Calculated density in g/cm3: 6.54
Formation energy from raw total energies in eV per atom: 0.5294
Calculated volume in Å³/atom: 22.43


# 2
# CdTeC2

A relaxed structure of CdTeC2 (PBE, the Alexandria database).

Structure (POSCAR):
```
CdTeC2
1.0
-2.623 2.623 4.870
2.623 -2.623 4.870
2.623 2.623 -4.870
Cd Te C
2 2 4
Direct
0.000 0.000 0.000 Cd
0.750 0.250 0.500 Cd
0.250 0.750 0.500 Te
0.500 0.500 0.000 Te
0.158 0.625 0.033 C
0.375 0.408 0.533 C
0.592 0.125 0.967 C
0.875 0.842 0.467 C
```

Values from the calculation:
Distance to the lowest polymorph of the same formula in meV/atom: 0.0
DOS at the Fermi energy in states/eV/cell: 0.0
Calculated density in g/cm3: 6.54
Formation energy from raw total energies in eV per atom: 1.4495
Calculated volume in Å³/atom: 16.75


# 3
# Hg2PO4

A relaxed structure of Hg2PO4 (PBE, the Alexandria database).

Structure (POSCAR):
```
Hg2PO4
1.0
4.839 -6.261 0.000
4.839 6.261 0.000
-3.088 0.000 7.683
Hg P O
8 4 16
Direct
0.056 0.259 0.448 Hg
0.057 0.421 0.201 Hg
0.259 0.056 0.948 Hg
0.421 0.057 0.701 Hg
0.579 0.943 0.299 Hg
0.741 0.944 0.052 Hg
0.943 0.579 0.799 Hg
0.944 0.741 0.552 Hg
0.137 0.863 0.250 P
0.439 0.561 0.750 P
0.561 0.439 0.250 P
0.863 0.137 0.750 P
0.009 0.132 0.653 O
0.091 0.674 0.114 O
0.132 0.009 0.153 O
0.314 0.602 0.864 O
0.326 0.909 0.386 O
0.359 0.378 0.136 O
0.378 0.359 0.636 O
0.398 0.686 0.636 O
0.602 0.314 0.364 O
0.622 0.641 0.364 O
0.641 0.622 0.864 O
0.674 0.091 0.614 O
0.686 0.398 0.136 O
0.868 0.991 0.847 O
0.909 0.326 0.886 O
0.991 0.868 0.347 O
```

Values from the calculation:
Distance to the lowest polymorph of the same formula in meV/atom: 58.1
DOS at the Fermi energy in states/eV/cell: 6.9
Calculated density in g/cm3: 7.08
Formation energy from raw total energies in eV per atom: -1.1199
Calculated volume in Å³/atom: 16.63


# 4
# YAs2Pt

A relaxed structure of YAs2Pt (PBE, the Alexandria database).

Structure (POSCAR):
```
YAs2Pt
1.0
2.001 1.155 6.492
-2.001 1.155 6.492
0.000 -2.310 6.492
Y As Pt
1 2 1
Direct
0.000 0.000 0.000 Y
0.516 0.516 0.516 As
0.758 0.758 0.758 As
0.240 0.240 0.240 Pt
```

Values from the calculation:
DOS at the Fermi energy in states/eV/cell: 2.2
Calculated density in g/cm3: 8.00
Energy relative to the elements in eV per atom: -0.4467
Calculated volume in Å³/atom: 22.51


# 5
# SiTeI

A relaxed structure of SiTeI (PBE, the Alexandria database).

Structure (POSCAR):
```
SiTeI
1.0
3.980 0.000 0.000
1.989 6.682 0.000
0.008 3.147 8.361
Si Te I
2 2 2
Direct
0.183 0.134 0.442 Si
0.817 0.866 0.558 Si
0.473 0.553 0.638 Te
0.527 0.447 0.362 Te
0.188 0.125 0.160 I
0.812 0.875 0.840 I
```

Values from the calculation:
Distance to the lowest polymorph of the same formula in meV/atom: 153.5
Calculated density in g/cm3: 4.22
Formation energy from raw total energies in eV per atom: -0.0106
Calculated volume in Å³/atom: 37.06


# 6
# Mn2AgP

A relaxed structure of Mn2AgP (PBE, the Alexandria database).

Structure (POSCAR):
```
Mn2AgP
1.0
-1.848 1.848 8.548
1.848 -1.848 8.548
1.848 1.848 -8.548
Mn Ag P
4 2 2
Direct
0.019 0.625 0.894 Mn
0.375 0.269 0.394 Mn
0.731 0.125 0.106 Mn
0.875 0.981 0.606 Mn
0.250 0.750 0.500 Ag
0.500 0.500 0.000 Ag
0.000 0.000 0.000 P
0.750 0.250 0.500 P
```

Values from the calculation:
DOS at the Fermi energy in states/eV/cell: 6.8
Calculated density in g/cm3: 7.08
Energy relative to the elements in eV per atom: 0.5691
Calculated volume in Å³/atom: 14.59


# 7
# SiSbSeN2

A relaxed structure of SiSbSeN2 (PBE, the Alexandria database).

Structure (POSCAR):
```
SiSbSeN2
1.0
3.786 0.000 0.000
0.000 3.786 0.000
0.000 0.000 4.987
Si Sb Se N
1 1 1 2
Direct
0.000 0.000 0.000 Si
0.500 0.500 0.500 Sb
0.000 0.000 0.500 Se
0.000 0.500 0.000 N
0.500 0.000 0.000 N
```

Values from the calculation:
Distance to the lowest polymorph of the same formula in meV/atom: 0.0
DOS at the Fermi energy in states/eV/cell: 1.4
Calculated density in g/cm3: 5.97
Formation energy from raw total energies in eV per atom: 0.7144
Calculated volume in Å³/atom: 14.30


# 8
# TbGa3Co3

A relaxed structure of TbGa3Co3 (PBE, the Alexandria database).

Structure (POSCAR):
```
TbGa3Co3
1.0
3.234 1.867 5.950
-3.234 1.867 5.950
0.000 -3.734 5.950
Tb Ga Co
2 6 6
Direct
0.157 0.157 0.157 Tb
0.843 0.843 0.843 Tb
0.056 0.585 0.237 Ga
0.237 0.056 0.585 Ga
0.415 0.763 0.944 Ga
0.585 0.237 0.056 Ga
0.763 0.944 0.415 Ga
0.944 0.415 0.763 Ga
0.226 0.654 0.427 Co
0.346 0.573 0.774 Co
0.427 0.226 0.654 Co
0.573 0.774 0.346 Co
0.654 0.427 0.226 Co
0.774 0.346 0.573 Co
```

Values from the calculation:
Distance to the lowest polymorph of the same formula in meV/atom: 0.0
DOS at the Fermi energy in states/eV/cell: 13.1
Calculated density in g/cm3: 8.40
Energy relative to the elements in eV per atom: -0.1286
Calculated volume in Å³/atom: 15.40